LiHf3Ru: optimized geometry, GGA-PBE.

abc: 5.0091 5.0091 5.0091
angles: 90.00 90.00 90.00
Atoms (fractional coordinates):
Li1 0.0000 0.0000 0.0000
Hf1 0.0000 0.5000 0.5000
Hf2 0.5000 0.0000 0.5000
Hf3 0.5000 0.5000 0.0000
Ru1 0.5000 0.5000 0.5000

## Properties
calculated formation energy	0.392	eV/atom
calculated volume	126	Å³ per cell
energy	-7.82	eV per atom